Run one
This record from the Alexandria database describes a relaxed structure of Hf3CoMo. The functional is PBE.

Values from the calculation:
Fermi-level density of states = 7.81 states/eV/cell
total magnetization = 0.56 μB/f.u.
V = 103.7 Å³/cell

The structure in POSCAR format:
```
Hf3CoMo
1.0
4.698 0.000 0.000
0.000 4.698 0.000
0.000 0.000 4.698
Mo Hf Co
1 3 1
Direct
0.500 0.500 0.500 Mo
0.000 0.500 0.000 Hf
0.500 0.000 0.000 Hf
0.000 0.000 0.500 Hf
0.000 0.000 0.000 Co
```

***

Run two
This record from the Alexandria database describes a relaxed structure of Hf3CoMo. The functional is PBE.

Values from the calculation:
Fermi-level density of states = 9.67 states/eV/cell
total magnetization = 0.00 μB/f.u.
V = 120.3 Å³/cell

The structure in POSCAR format:
```
Hf3CoMo
1.0
-3.682 -1.072 3.108
0.392 -4.777 -1.183
3.265 -0.636 3.648
Hf Mo Co
3 1 1
Direct
0.000 0.500 0.000 Hf
0.000 0.000 0.500 Hf
0.500 0.000 0.000 Hf
0.000 0.000 0.000 Mo
0.500 0.500 0.500 Co
```

***

It is run two that is the least stable of them.

***

Run one
This record from the Alexandria database describes a relaxed structure of HfCo2Mo2. The functional is PBE.

Values from the calculation:
Fermi-level density of states = 11.24 states/eV/cell
total magnetization = 0.00 μB/f.u.
V = 148.4 Å³/cell

The structure in POSCAR format:
```
HfCo2Mo2
1.0
-2.431 1.326 6.928
6.737 -1.735 2.696
0.747 2.549 -0.226
Co Mo Hf
4 4 2
Direct
0.326 0.174 0.500 Co
0.826 0.326 0.500 Co
0.674 0.826 0.500 Co
0.174 0.674 0.500 Co
0.123 0.377 0.000 Mo
0.877 0.623 0.000 Mo
0.623 0.123 0.000 Mo
0.377 0.877 0.000 Mo
0.500 0.500 0.000 Hf
0.000 0.000 0.000 Hf
```

***

Run two
This record from the Alexandria database describes a relaxed structure of HfCo2Mo2. The functional is PBE.

Values from the calculation:
Fermi-level density of states = 7.36 states/eV/cell
total magnetization = 0.00 μB/f.u.
V = 77.5 Å³/cell

The structure in POSCAR format:
```
HfCo2Mo2
1.0
-1.555 2.500 2.413
-3.395 -1.656 -0.472
-1.436 -2.870 5.050
Mo Co Hf
2 2 1
Direct
0.750 0.250 0.500 Mo
0.250 0.750 0.500 Mo
0.400 0.400 0.200 Co
0.600 0.600 0.800 Co
0.000 0.000 0.000 Hf
```

***

It is run one that is the least stable of them.

***

Run one
This record from the Alexandria database describes a relaxed structure of HfCoMo2. The functional is PBE.

Values from the calculation:
Fermi-level density of states = 7.10 states/eV/cell
total magnetization = 0.00 μB/f.u.
V = 134.5 Å³/cell

The structure in POSCAR format:
```
HfCoMo2
1.0
-3.663 -6.231 1.297
4.226 -1.262 5.872
-1.334 -2.499 5.016
Co Hf Mo
2 2 4
Direct
0.500 0.500 0.000 Co
0.250 0.750 0.500 Co
0.000 0.000 0.000 Hf
0.750 0.250 0.500 Hf
0.875 0.831 0.750 Mo
0.581 0.125 0.250 Mo
0.169 0.625 0.250 Mo
0.375 0.419 0.750 Mo
```

***

Run two
This record from the Alexandria database describes a relaxed structure of HfCoMo2. The functional is PBE.

Values from the calculation:
Fermi-level density of states = 6.76 states/eV/cell
total magnetization = 0.00 μB/f.u.
V = 62.3 Å³/cell

The structure in POSCAR format:
```
HfCoMo2
1.0
0.000 3.147 3.147
3.147 0.000 3.147
3.147 3.147 0.000
Co Mo Hf
1 2 1
Direct
0.000 0.000 0.000 Co
0.250 0.250 0.250 Mo
0.750 0.750 0.750 Mo
0.500 0.500 0.500 Hf
```

***

It is run one that is the least stable of them.

***

Run one
This record from the Alexandria database describes a relaxed structure of HfCoSN2. The functional is PBE.

Values from the calculation:
Fermi-level density of states = 3.10 states/eV/cell
total magnetization = 1.33 μB/f.u.
V = 60.1 Å³/cell

The structure in POSCAR format:
```
HfCoSN2
1.0
-3.500 1.075 0.658
0.365 -0.996 3.566
1.409 3.991 0.971
N Co Hf S
2 1 1 1
Direct
0.000 0.500 0.000 N
0.500 0.000 0.000 N
0.000 0.000 0.000 Co
0.500 0.500 0.500 Hf
0.000 0.000 0.500 S
```

***

Run two
This record from the Alexandria database describes a relaxed structure of HfCoSN2. The functional is PBE.

Values from the calculation:
Fermi-level density of states = 3.60 states/eV/cell
total magnetization = 3.97 μB/f.u.
V = 85.4 Å³/cell

The structure in POSCAR format:
```
HfCoSN2
1.0
-3.143 2.054 1.569
0.057 -2.414 3.275
3.273 3.233 2.325
Co S N Hf
1 1 2 1
Direct
0.500 0.500 0.500 Co
0.000 0.000 0.500 S
0.500 0.000 0.000 N
0.000 0.500 0.000 N
0.000 0.000 0.000 Hf
```

***

It is run two that is the least stable of them.

***

Run one
This record from the Alexandria database describes a relaxed structure of HfNb3Co. The functional is PBE.

Values from the calculation:
Fermi-level density of states = 9.66 states/eV/cell
total magnetization = 0.00 μB/f.u.
V = 99.6 Å³/cell

The structure in POSCAR format:
```
HfNb3Co
1.0
4.635 0.000 0.000
0.000 4.635 0.000
0.000 0.000 4.635
Nb Co Hf
3 1 1
Direct
0.000 0.500 0.000 Nb
0.000 0.000 0.500 Nb
0.500 0.000 0.000 Nb
0.000 0.000 0.000 Co
0.500 0.500 0.500 Hf
```

***

Run two
This record from the Alexandria database describes a relaxed structure of HfNb3Co. The functional is PBE.

Values from the calculation:
Fermi-level density of states = 12.03 states/eV/cell
total magnetization = 0.00 μB/f.u.
V = 114.2 Å³/cell

The structure in POSCAR format:
```
HfNb3Co
1.0
-3.950 -2.216 -1.742
2.814 -2.936 -2.646
0.155 -3.164 3.675
Nb Hf Co
3 1 1
Direct
0.000 0.500 0.000 Nb
0.000 0.000 0.500 Nb
0.500 0.000 0.000 Nb
0.000 0.000 0.000 Hf
0.500 0.500 0.500 Co
```

***

It is run two that is the least stable of them.

***

Run one
This record from the Alexandria database describes a relaxed structure of Hf2NbCo2. The functional is PBE.

Values from the calculation:
Fermi-level density of states = 3.73 states/eV/cell
total magnetization = 0.00 μB/f.u.
V = 83.7 Å³/cell

The structure in POSCAR format:
```
Hf2NbCo2
1.0
-3.028 -0.523 2.319
1.338 -2.630 4.329
0.557 2.631 4.495
Nb Co Hf
1 2 2
Direct
0.500 0.500 0.000 Nb
0.000 0.226 0.274 Co
0.000 0.774 0.726 Co
0.299 0.201 0.701 Hf
0.701 0.799 0.299 Hf
```

***

Run two
This record from the Alexandria database describes a relaxed structure of Hf2NbCo2. The functional is PBE.

Values from the calculation:
Fermi-level density of states = 11.41 states/eV/cell
total magnetization = 0.00 μB/f.u.
V = 164.0 Å³/cell

The structure in POSCAR format:
```
Hf2NbCo2
1.0
7.054 0.000 0.000
0.000 7.054 0.000
0.000 0.000 3.297
Hf Nb Co
4 2 4
Direct
0.331 0.169 0.500 Hf
0.669 0.831 0.500 Hf
0.169 0.669 0.500 Hf
0.831 0.331 0.500 Hf
0.500 0.500 0.000 Nb
0.000 0.000 0.000 Nb
0.127 0.373 0.000 Co
0.627 0.127 0.000 Co
0.873 0.627 0.000 Co
0.373 0.873 0.000 Co
```

***

It is run two that is the least stable of them.

***

Run one
This record from the Alexandria database describes a relaxed structure of Hf3NbCo. The functional is PBE.

Values from the calculation:
Fermi-level density of states = 7.96 states/eV/cell
total magnetization = 0.00 μB/f.u.
V = 123.7 Å³/cell

The structure in POSCAR format:
```
Hf3NbCo
1.0
-0.318 -0.987 4.874
3.396 -3.610 -0.510
3.632 3.289 0.903
Hf Co Nb
3 1 1
Direct
0.000 0.500 0.000 Hf
0.000 0.000 0.500 Hf
0.500 0.000 0.000 Hf
0.500 0.500 0.500 Co
0.000 0.000 0.000 Nb
```

***

Run two
This record from the Alexandria database describes a relaxed structure of Hf3NbCo. The functional is PBE.

Values from the calculation:
Fermi-level density of states = 9.66 states/eV/cell
total magnetization = 0.00 μB/f.u.
V = 106.4 Å³/cell

The structure in POSCAR format:
```
Hf3NbCo
1.0
4.739 0.000 0.000
0.000 4.739 0.000
0.000 0.000 4.739
Hf Nb Co
3 1 1
Direct
0.500 0.000 0.000 Hf
0.000 0.000 0.500 Hf
0.000 0.500 0.000 Hf
0.500 0.500 0.500 Nb
0.000 0.000 0.000 Co
```

***

It is run one that is the least stable of them.

***

Run one
This record from the Alexandria database describes a relaxed structure of HfNbCoS2. The functional is PBE.

Values from the calculation:
Fermi-level density of states = 3.11 states/eV/cell
total magnetization = 0.00 μB/f.u.
V = 98.0 Å³/cell

The structure in POSCAR format:
```
HfNbCoS2
1.0
-4.571 0.171 0.877
-0.515 -4.070 -1.891
0.718 -2.014 4.138
Hf S Nb Co
1 2 1 1
Direct
0.500 0.500 0.500 Hf
0.000 0.000 0.500 S
0.500 0.000 0.000 S
0.000 0.000 0.000 Nb
0.000 0.500 0.000 Co
```

***

Run two
This record from the Alexandria database describes a relaxed structure of HfNbCoS2. The functional is PBE.

Values from the calculation:
Fermi-level density of states = 5.49 states/eV/cell
total magnetization = 0.00 μB/f.u.
V = 87.9 Å³/cell

The structure in POSCAR format:
```
HfNbCoS2
1.0
4.395 0.000 0.000
0.000 4.395 0.000
0.000 0.000 4.551
S Nb Co Hf
2 1 1 1
Direct
0.500 0.000 0.000 S
0.000 0.500 0.000 S
0.500 0.500 0.500 Nb
0.000 0.000 0.000 Co
0.000 0.000 0.500 Hf
```

***

It is run two that is the least stable of them.

***

Run one
This record from the Alexandria database describes a relaxed structure of Hf4CoNi. The functional is PBE.

Values from the calculation:
Fermi-level density of states = 8.10 states/eV/cell
total magnetization = 0.00 μB/f.u.
V = 107.7 Å³/cell

The structure in POSCAR format:
```
Hf4CoNi
1.0
1.273 -0.485 -5.041
2.677 -2.801 3.500
-4.924 -1.703 0.347
Ni Hf Co
1 4 1
Direct
0.500 0.500 0.000 Ni
0.581 0.081 0.162 Hf
0.919 0.419 0.838 Hf
0.081 0.919 0.500 Hf
0.419 0.581 0.500 Hf
0.000 0.000 0.000 Co
```

***

Run two
This record from the Alexandria database describes a relaxed structure of Hf4CoNi. The functional is PBE.

Values from the calculation:
Fermi-level density of states = 14.58 states/eV/cell
total magnetization = 0.00 μB/f.u.
V = 252.8 Å³/cell

The structure in POSCAR format:
```
Hf4CoNi
1.0
-2.321 -4.792 -4.526
6.363 -0.357 2.866
-4.294 -0.706 5.467
Hf Co Ni
8 2 2
Direct
0.235 0.003 0.231 Hf
0.752 0.021 0.268 Hf
0.752 0.484 0.732 Hf
0.696 0.497 0.199 Hf
0.246 0.547 0.301 Hf
0.772 0.003 0.769 Hf
0.298 0.497 0.801 Hf
0.246 0.945 0.699 Hf
0.533 0.033 0.500 Co
0.784 0.784 0.000 Co
0.218 0.218 0.000 Ni
0.967 0.467 0.500 Ni
```

***

It is run two that is the least stable of them.

***

Run one
This record from the Alexandria database describes a relaxed structure of HfCo2Ni2. The functional is PBE.

Values from the calculation:
Fermi-level density of states = 3.71 states/eV/cell
total magnetization = 3.09 μB/f.u.
V = 66.8 Å³/cell

The structure in POSCAR format:
```
HfCo2Ni2
1.0
-2.711 -1.598 1.399
0.113 -2.374 -2.492
2.172 -5.122 2.599
Co Ni Hf
2 2 1
Direct
0.250 0.750 0.500 Co
0.750 0.250 0.500 Co
0.398 0.398 0.204 Ni
0.602 0.602 0.796 Ni
0.000 0.000 0.000 Hf
```

***

Run two
This record from the Alexandria database describes a relaxed structure of HfCo2Ni2. The functional is PBE.

Values from the calculation:
Fermi-level density of states = 15.34 states/eV/cell
total magnetization = 3.16 μB/f.u.
V = 128.2 Å³/cell

The structure in POSCAR format:
```
HfCo2Ni2
1.0
6.849 0.000 0.000
0.000 6.849 0.000
0.000 0.000 2.732
Ni Co Hf
4 4 2
Direct
0.828 0.328 0.500 Ni
0.172 0.672 0.500 Ni
0.672 0.828 0.500 Ni
0.328 0.172 0.500 Ni
0.377 0.877 0.000 Co
0.623 0.123 0.000 Co
0.877 0.623 0.000 Co
0.123 0.377 0.000 Co
0.000 0.000 0.000 Hf
0.500 0.500 0.000 Hf
```

***

It is run two that is the least stable of them.

***

Run one
This record from the Alexandria database describes a relaxed structure of Hf6Co2Ni. The functional is PBE.

Values from the calculation:
Fermi-level density of states = 20.27 states/eV/cell
total magnetization = 0.00 μB/f.u.
V = 335.2 Å³/cell

The structure in POSCAR format:
```
Hf6Co2Ni
1.0
-2.489 -3.680 3.458
-3.942 -2.069 -5.039
5.991 -6.152 -2.161
Hf Co Ni
12 4 2
Direct
0.353 0.791 0.429 Hf
0.826 0.938 0.242 Hf
0.326 0.562 0.742 Hf
0.170 0.350 0.442 Hf
0.147 0.291 0.071 Hf
0.647 0.209 0.571 Hf
0.830 0.650 0.558 Hf
0.330 0.850 0.058 Hf
0.853 0.709 0.929 Hf
0.674 0.438 0.258 Hf
0.670 0.150 0.942 Hf
0.174 0.062 0.758 Hf
0.080 0.609 0.222 Co
0.580 0.891 0.722 Co
0.420 0.109 0.278 Co
0.920 0.391 0.778 Co
0.000 0.000 0.500 Ni
0.500 0.500 0.000 Ni
```

***

Run two
This record from the Alexandria database describes a relaxed structure of Hf6Co2Ni. The functional is PBE.

Values from the calculation:
Fermi-level density of states = 16.76 states/eV/cell
total magnetization = 0.00 μB/f.u.
V = 331.2 Å³/cell

The structure in POSCAR format:
```
Hf6Co2Ni
1.0
-4.088 -2.258 5.956
-3.423 -1.281 -6.628
6.487 -3.860 -0.555
Hf Co Ni
12 4 2
Direct
0.699 0.369 0.670 Hf
0.519 0.704 0.815 Hf
0.193 0.770 0.962 Hf
0.301 0.631 0.330 Hf
0.112 0.296 0.815 Hf
0.807 0.230 0.038 Hf
0.888 0.704 0.185 Hf
0.807 0.770 0.577 Hf
0.193 0.230 0.423 Hf
0.699 0.029 0.330 Hf
0.481 0.296 0.185 Hf
0.301 0.971 0.670 Hf
0.659 0.000 0.659 Co
0.341 0.000 0.341 Co
0.500 0.634 0.134 Co
0.500 0.366 0.866 Co
0.000 0.500 0.500 Ni
0.000 0.000 0.000 Ni
```

***

It is run one that is the least stable of them.

***

Run one
This record from the Alexandria database describes a relaxed structure of HfCoNiPt. The functional is PBE.

Values from the calculation:
Fermi-level density of states = 2.25 states/eV/cell
total magnetization = 0.70 μB/f.u.
V = 56.3 Å³/cell

The structure in POSCAR format:
```
HfCoNiPt
1.0
-0.809 -0.769 3.573
-2.160 -2.948 -1.123
3.134 -2.373 0.199
Pt Co Ni Hf
1 1 1 1
Direct
0.500 0.500 0.000 Pt
0.000 0.500 0.500 Co
0.000 0.000 0.000 Ni
0.500 0.000 0.500 Hf
```

***

Run two
This record from the Alexandria database describes a relaxed structure of HfCoNiPt. The functional is PBE.

Values from the calculation:
Fermi-level density of states = 6.29 states/eV/cell
total magnetization = 0.66 μB/f.u.
V = 56.9 Å³/cell

The structure in POSCAR format:
```
HfCoNiPt
1.0
4.318 0.000 0.000
2.159 3.740 0.000
2.159 1.247 3.526
Hf Pt Co Ni
1 1 1 1
Direct
0.750 0.750 0.750 Hf
0.250 0.250 0.250 Pt
0.000 0.000 0.000 Co
0.500 0.500 0.500 Ni
```

***

It is run two that is the least stable of them.